# 1
The following is a DFT calculation (PBE-GGA) of an optimized crystal structure of Be2Zn2Br. Values from VASP.

```
&SYSTEM
  ibrav = 0, nat = 5, ntyp = 3
/
ATOMIC_SPECIES
Zn 65.41 Zn.upf
Be 9.01 Be.upf
Br 79.90 Br.upf
ATOMIC_POSITIONS crystal
Zn 0.750 0.250 0.500
Zn 0.250 0.750 0.500
Be 0.599 0.599 0.802
Be 0.401 0.401 0.198
Br 0.000 0.000 0.000
CELL_PARAMETERS angstrom
-2.769 2.501 -0.585
-2.146 -1.780 2.547
-0.350 3.646 5.053
```

Values from the calculation:
Its crystal system is tetragonal. For the offset from the most stable computed form, the calculation gives 5.1 kJ/mol of atoms. As for the final energy: -9.05 eV per cell. The space-group type is No. 139.


# 2
The following is a DFT calculation (PBE-GGA) of an optimized crystal structure of BeZn2Br. Values from VASP.

```
&SYSTEM
  ibrav = 0, nat = 8, ntyp = 3
/
ATOMIC_SPECIES
Zn 65.41 Zn.upf
Be 9.01 Be.upf
Br 79.90 Br.upf
ATOMIC_POSITIONS crystal
Zn 0.375 0.435 0.750
Zn 0.185 0.625 0.250
Zn 0.875 0.815 0.750
Zn 0.565 0.125 0.250
Be 0.500 0.500 0.000
Be 0.250 0.750 0.500
Br 0.000 0.000 0.000
Br 0.750 0.250 0.500
CELL_PARAMETERS angstrom
6.224 0.000 0.000
0.000 6.224 0.000
3.112 3.112 4.841
```

Values from the calculation:
Its crystal system is tetragonal. For the offset from the most stable computed form, the calculation gives 36.9 kJ/mol of atoms. As for the final energy: -13.44 eV per cell. The space-group type is No. 122.


# 3
The following is a DFT calculation (PBE-GGA) of an optimized crystal structure of BeZnBr. Values from VASP.

```
&SYSTEM
  ibrav = 0, nat = 3, ntyp = 3
/
ATOMIC_SPECIES
Zn 65.41 Zn.upf
Be 9.01 Be.upf
Br 79.90 Br.upf
ATOMIC_POSITIONS crystal
Zn 0.500 0.500 0.500
Be 0.250 0.250 0.250
Br 0.000 0.000 0.000
CELL_PARAMETERS angstrom
4.475 0.000 0.000
2.237 3.875 0.000
2.237 1.292 3.654
```

Values from the calculation:
Its crystal system is cubic. For the offset from the most stable computed form, the calculation gives 50.5 kJ/mol of atoms. As for the final energy: -4.72 eV per cell. The space-group type is No. 216.


no.,formation energy without anion corrections (eV per atom)
1,0.52
2,0.31
3,0.65